DFT (PBE) results for a geometry-optimized CsInHg2Pt structure.

Output
D(E_F) = 1.5 states/eV/f.u.
Total energy = -2.327 eV/atom
Volume = 157 Å³ per cell
Symmetry = P4/mmm
ΔH_f (0 K) = -1.40 eV/f.u.

abc: 5.486 5.486 5.231
angles: 90.00 90.00 90.00
Element x y z (fractional)
Cs 0.000 0.000 0.000
In 0.500 0.500 0.000
Hg 0.000 0.500 0.500
Hg 0.500 0.000 0.500
Pt 0.500 0.500 0.500